# 1
A plane-wave DFT calculation with PBE-GGA was carried out for AcGd2Mg after structural relaxation.

Cell and atoms, written as POSCAR:
```
AcGd2Mg
1.0
3.611 0.000 0.000
-1.806 3.127 0.000
0.000 0.000 37.720
Ac Gd Mg
3 6 3
Direct
0.000 0.000 0.000
0.333 0.667 0.667
0.667 0.333 0.333
0.000 0.000 0.413
0.000 0.000 0.587
0.333 0.667 0.079
0.333 0.667 0.254
0.667 0.333 0.746
0.667 0.333 0.921
0.000 0.000 0.500
0.333 0.667 0.167
0.667 0.333 0.833
```

Summary:
Energy above the lowest structure with this stoichiometry, meV per atom: 293
ΔE_f, meV/atom: 269
Size of the total moment, Bohr magnetons per cell: 44.79

# 2
A plane-wave DFT calculation with PBE-GGA was carried out for AcGd2Mg after structural relaxation.

Cell and atoms, written as POSCAR:
```
AcGd2Mg
1.0
8.088 0.000 0.000
0.000 8.088 0.000
0.000 0.000 8.088
Ac Gd Mg
4 8 4
Direct
0.000 0.000 0.000
0.000 0.500 0.500
0.500 0.000 0.500
0.500 0.500 0.000
0.250 0.250 0.250
0.250 0.250 0.750
0.250 0.750 0.250
0.250 0.750 0.750
0.750 0.250 0.250
0.750 0.250 0.750
0.750 0.750 0.250
0.750 0.750 0.750
0.000 0.000 0.500
0.000 0.500 0.000
0.500 0.000 0.000
0.500 0.500 0.500
```

Summary:
Energy above the lowest structure with this stoichiometry, meV per atom: 125
ΔE_f, meV/atom: 101
Size of the total moment, Bohr magnetons per cell: 61.64

# 3
A plane-wave DFT calculation with PBE-GGA was carried out for AcGd2Mg after structural relaxation.

Cell and atoms, written as POSCAR:
```
AcGd2Mg
1.0
5.050 0.000 0.000
0.000 5.050 0.000
0.000 0.000 5.224
Ac Gd Mg
1 2 1
Direct
0.000 0.000 0.000
0.000 0.500 0.500
0.500 0.000 0.500
0.500 0.500 0.000
```

Summary:
Energy above the lowest structure with this stoichiometry, meV per atom: 47
ΔE_f, meV/atom: 23
Size of the total moment, Bohr magnetons per cell: 15.50